The following is a PBE with a Hubbard U calculation of a relaxed structure of CoP3O9, from Alexandria.

abc: 9.149 9.566 6.877
angles: 90.00 90.00 90.00
Space group C222_1 (No. 20)
Unique sites:
Co  0.191  0.000  0.000 (multiplicity 4)
P  0.012  0.293  0.466 (multiplicity 8)
P  0.224  0.500  0.000 (multiplicity 4)
O  0.000  0.349  0.250 (multiplicity 4)
O  0.030  0.141  0.021 (multiplicity 8)
O  0.113  0.379  0.931 (multiplicity 8)
O  0.160  0.343  0.537 (multiplicity 8)
O  0.200  0.035  0.689 (multiplicity 8)

- Crystal system: orthorhombic
- E above lowest polymorph: 1.38 eV/f.u.
- Magnetization: 16.3 μB/cell